Entry 1:
## ReAsPdO (PBE)

Data for an optimized crystal structure of ReAsPdO.

Calculated values
ρ	9.6	g/cm³
energy above the lowest structure with this stoichiometry	579	meV per atom
total energy	-0.484	Ry per atom

a b c (Å): 3.903 3.903 8.702
angles (deg): 90.00 90.00 90.00
Space group P4/nmm (No. 129, origin choice 2)
Asymmetric unit:
Re (0.250, 0.750, 0.000)
As (0.250, 0.250, 0.195)
Pd (0.250, 0.250, 0.571)
O (0.250, 0.750, 0.500)

Entry 2:
## ReAsPdO (PBE)

Data for an optimized crystal structure of ReAsPdO.

Calculated values
ρ	9.5	g/cm³
energy above the lowest structure with this stoichiometry	181	meV per atom
total energy	-0.513	Ry per atom

a b c (Å): 3.830 6.056 5.791
angles (deg): 90.00 90.00 90.00
Space group Pmc2_1 (No. 26)
Asymmetric unit:
Re (0.000, 0.205, 0.000)
As (0.000, 0.206, 0.433)
Pd (0.500, 0.390, 0.604)
O (0.500, 0.204, 0.994)

Entry 3:
## ReAsPdO (PBE)

Data for an optimized crystal structure of ReAsPdO.

Calculated values
ρ	11.4	g/cm³
energy above the lowest structure with this stoichiometry	463	meV per atom
total energy	-0.492	Ry per atom

a b c (Å): 3.526 3.526 8.961
angles (deg): 90.00 90.00 90.00
Space group P4/nmm (No. 129, origin choice 2)
Asymmetric unit:
Re (0.250, 0.250, 0.137)
As (0.250, 0.250, 0.720)
Pd (0.250, 0.750, 0.500)
O (0.250, 0.750, 0.000)

Entry 4:
## ReAsPdO (PBE)

Data for an optimized crystal structure of ReAsPdO.

Calculated values
ρ	9.9	g/cm³
energy above the lowest structure with this stoichiometry	589	meV per atom
total energy	-0.483	Ry per atom

a b c (Å): 3.932 3.932 8.294
angles (deg): 90.00 90.00 90.00
Space group P4/nmm (No. 129, origin choice 2)
Asymmetric unit:
Re (0.250, 0.750, 0.000)
As (0.250, 0.250, 0.199)
Pd (0.250, 0.250, 0.576)
O (0.250, 0.750, 0.500)

Entry 5:
## ReAsPdO (PBE)

Data for an optimized crystal structure of ReAsPdO.

Calculated values
ρ	12.2	g/cm³
energy above the lowest structure with this stoichiometry	443	meV per atom
total energy	-0.494	Ry per atom

a b c (Å): 3.739 3.739 7.493
angles (deg): 90.00 90.00 90.00
Space group P4/nmm (No. 129, origin choice 2)
Asymmetric unit:
Re (0.250, 0.250, 0.167)
As (0.250, 0.250, 0.734)
Pd (0.250, 0.750, 0.500)
O (0.250, 0.750, 0.000)

Entry 6:
## ReAsPdO (PBE)

Data for an optimized crystal structure of ReAsPdO.

Calculated values
ρ	9.6	g/cm³
energy above the lowest structure with this stoichiometry	0	meV per atom
total energy	-0.526	Ry per atom

a b c (Å): 2.768 6.523 7.350
angles (deg): 90.00 90.00 90.00
Space group Pmc2_1 (No. 26)
Asymmetric unit:
Re (0.000, 0.018, 0.000)
As (0.500, 0.337, 0.891)
Pd (0.500, 0.333, 0.554)
O (0.000, 0.061, 0.251)